No. 1
A geometry-optimized YCuAsPt structure, computed with PBE.

a = 6.631 Å, b = 6.631 Å, c = 6.631 Å
α = 90.00°, β = 90.00°, γ = 90.00°
Space group F-43m (No. 216)
Asymmetric unit:
Y: 0.000 0.000 0.000 [4 per cell]
Cu: 0.250 0.250 0.750 [4 per cell]
As: 0.000 0.000 0.500 [4 per cell]
Pt: 0.250 0.250 0.250 [4 per cell]

## Properties
Excess energy over the best structure of this formula in the dataset = 19 meV per atom

=====

No. 2
A geometry-optimized NbTlFeAg structure, computed with PBE.

a = 6.561 Å, b = 6.561 Å, c = 6.561 Å
α = 90.00°, β = 90.00°, γ = 90.00°
Space group F-43m (No. 216)
Asymmetric unit:
Nb: 0.000 0.000 0.000 [4 per cell]
Tl: 0.000 0.000 0.500 [4 per cell]
Fe: 0.250 0.250 0.750 [4 per cell]
Ag: 0.250 0.250 0.250 [4 per cell]

## Properties
Excess energy over the best structure of this formula in the dataset = 0 meV per atom

=====

No. 3
A geometry-optimized BeAg2Hg structure, computed with PBE.

a = 6.417 Å, b = 6.417 Å, c = 6.417 Å
α = 90.00°, β = 90.00°, γ = 90.00°
Space group F-43m (No. 216)
Asymmetric unit:
Be: 0.000 0.000 0.000 [4 per cell]
Ag: 0.000 0.000 0.500 [4 per cell]
Ag: 0.250 0.250 0.750 [4 per cell]
Hg: 0.250 0.250 0.250 [4 per cell]

## Properties
DFT total energy = -2.13 eV per atom

=====

No. 4
A geometry-optimized Ho2Er2InGe4Pd2 structure, computed with PBE.

a = 15.792 Å, b = 4.228 Å, c = 7.143 Å
α = 90.00°, β = 107.55°, γ = 90.00°
Space group C2/m (No. 12)
Asymmetric unit:
Ho: 0.156 0.000 0.422 [4 per cell]
Er: 0.087 0.000 0.882 [4 per cell]
In: 0.000 0.500 0.500 [2 per cell]
Ge: 0.062 0.500 0.160 [4 per cell]
Ge: 0.190 0.500 0.735 [4 per cell]
Pd: 0.220 0.500 0.129 [4 per cell]

## Properties
DFT total energy = -5.40 eV per atom

=====

No. 5
A geometry-optimized Er2Al3Pt4 structure, computed with PBE.

a = 5.577 Å, b = 15.218 Å, c = 7.554 Å
α = 90.00°, β = 90.00°, γ = 90.00°
Space group Cmce (No. 64)
Asymmetric unit:
Er: 0.000 0.105 0.093 [8 per cell]
Al: 0.000 0.000 0.500 [4 per cell]
Al: 0.250 0.229 0.750 [8 per cell]
Pt: 0.000 0.182 0.472 [8 per cell]
Pt: 0.250 0.060 0.750 [8 per cell]

## Properties
DFT total energy = -6.14 eV per atom

=====

No. 6
A geometry-optimized Cu2Ag3 structure, computed with PBE.

a = 2.872 Å, b = 2.872 Å, c = 18.763 Å
α = 90.00°, β = 90.00°, γ = 90.00°
Space group P4/mmm (No. 123)
Asymmetric unit:
Cu: 0.000 0.000 0.098 [2 per cell]
Cu: 0.500 0.500 0.175 [2 per cell]
Ag: 0.000 0.000 0.272 [2 per cell]
Ag: 0.000 0.000 0.500 [1 per cell]
Ag: 0.500 0.500 0.000 [1 per cell]
Ag: 0.500 0.500 0.387 [2 per cell]

## Properties
Excess energy over the best structure of this formula in the dataset = 18 meV per atom
Formation energy from the elements = 0.051 eV per atom

=====

No. 7
A geometry-optimized Pr4Ag3Ge structure, computed with PBE.

a = 6.130 Å, b = 4.740 Å, c = 7.583 Å
α = 90.00°, β = 90.10°, γ = 90.00°
Space group Pm (No. 6)
Asymmetric unit:
Pr: 0.000 0.000 0.000 [1 per cell]
Pr: 0.221 0.000 0.509 [1 per cell]
Pr: 0.496 0.500 0.851 [1 per cell]
Pr: 0.732 0.500 0.361 [1 per cell]
Ag: 0.232 0.500 0.223 [1 per cell]
Ag: 0.504 0.000 0.145 [1 per cell]
Ag: 0.725 0.000 0.642 [1 per cell]
Ge: 0.012 0.500 0.727 [1 per cell]

## Properties
DFT total energy = -4.41 eV per atom

=====

No. 8
A geometry-optimized Nd2CuTcSb4 structure, computed with PBE.

a = 4.378 Å, b = 4.378 Å, c = 10.315 Å
α = 90.00°, β = 90.00°, γ = 90.00°
Space group P-4m2 (No. 115)
Asymmetric unit:
Nd: 0.000 0.500 0.244 [2 per cell]
Cu: 0.000 0.000 0.500 [1 per cell]
Tc: 0.500 0.500 0.500 [1 per cell]
Sb: 0.000 0.000 0.000 [1 per cell]
Sb: 0.000 0.500 0.649 [2 per cell]
Sb: 0.500 0.500 0.000 [1 per cell]

## Properties
DFT total energy = -5.53 eV per atom

=====

No. 9
A geometry-optimized NaSrCoW structure, computed with PBE.

a = 6.821 Å, b = 6.821 Å, c = 6.821 Å
α = 90.00°, β = 90.00°, γ = 90.00°
Space group F-43m (No. 216)
Asymmetric unit:
Na: 0.000 0.000 0.000 [4 per cell]
Sr: 0.250 0.250 0.250 [4 per cell]
Co: 0.000 0.000 0.500 [4 per cell]
W: 0.250 0.250 0.750 [4 per cell]

## Properties
Excess energy over the best structure of this formula in the dataset = 0 meV per atom

=====

No. 10
A geometry-optimized NpTaNb structure, computed with PBE.

a = 6.395 Å, b = 6.395 Å, c = 6.395 Å
α = 90.00°, β = 90.00°, γ = 90.00°
Space group F-43m (No. 216)
Asymmetric unit:
Np: 0.000 0.000 0.000 [4 per cell]
Ta: 0.000 0.000 0.500 [4 per cell]
Nb: 0.250 0.250 0.250 [4 per cell]

## Properties
Excess energy over the best structure of this formula in the dataset = 0 meV per atom
Formation energy from the elements = 0.873 eV per atom